VASP calculation (PBE-GGA) on ZrNbSn2Pb after structural relaxation.

Calculated values
* symmetry: P4/mmm

Lattice parameters (Å, degrees): 5.5656 5.6363 5.5656 90.00 90.00 90.00
Last column: magnetic moment on the atom in μB.
Element x y z (fractional)
Nb 0.0000 0.0000 0.0000  -0.01
Sn 0.5000 0.0000 0.0000  0.02
Sn 0.0000 0.0000 0.5000  0.00
Pb 0.0000 0.5000 0.0000  0.01
Zr 0.5000 0.5000 0.5000  1.39

---

VASP calculation (PBE-GGA) on SrNb3Pb after structural relaxation.

Calculated values
* ΔE to the lowest computed polymorph: 67.1 kJ/mol of atoms
* symmetry: Pm-3m

Lattice parameters (Å, degrees): 4.9700 4.9700 4.9700 90.00 90.00 90.00
Element x y z (fractional)
Nb 0.0000 0.0000 0.5000
Nb 0.0000 0.5000 0.0000
Sr 0.0000 0.0000 0.0000
Pb 0.5000 0.5000 0.5000
Nb 0.5000 0.0000 0.0000

---

VASP calculation (PBE-GGA) on SrNb3Pb after structural relaxation.

Calculated values
* ΔE to the lowest computed polymorph: 0.0 kJ/mol of atoms
* symmetry: Pm-3m

Lattice parameters (Å, degrees): 5.3010 5.3010 5.3010 90.00 90.00 90.00
Element x y z (fractional)
Pb 0.0000 0.0000 0.0000
Nb 0.5000 0.0000 0.0000
Nb 0.0000 0.5000 0.0000
Nb 0.0000 0.0000 0.5000
Sr 0.5000 0.5000 0.5000

---

VASP calculation (PBE-GGA) on Sr2NbTcPb after structural relaxation.

Calculated values
* symmetry: P4/mmm

Lattice parameters (Å, degrees): 6.2023 5.4040 6.2023 90.00 90.00 90.00
Last column: magnetic moment on the atom in μB.
Element x y z (fractional)
Nb 0.0000 0.5000 0.0000  2.01
Sr 0.0000 0.0000 0.5000  -0.01
Sr 0.5000 0.0000 0.0000  -0.02
Pb 0.0000 0.0000 0.0000  -0.06
Tc 0.5000 0.5000 0.5000  3.33

---

VASP calculation (PBE-GGA) on Sr2NbTlPb after structural relaxation.

Calculated values
* symmetry: P4/mmm

Lattice parameters (Å, degrees): 6.3054 5.4423 6.3054 90.00 90.00 90.00
Last column: magnetic moment on the atom in μB.
Element x y z (fractional)
Nb 0.0000 0.5000 0.0000  2.13
Tl 0.5000 0.5000 0.5000  0.02
Pb 0.0000 0.0000 0.0000  -0.08
Sr 0.0000 0.0000 0.5000  0.00
Sr 0.5000 0.0000 0.0000  0.01

---

VASP calculation (PBE-GGA) on Ta2Nb2Pb after structural relaxation.

Calculated values
* ΔE to the lowest computed polymorph: 31.9 kJ/mol of atoms
* symmetry: I4/mmm

Lattice parameters (Å, degrees): 3.9437 3.9437 7.4261 74.60 74.60 90.00
Element x y z (fractional)
Nb 0.7500 0.2500 0.5000
Ta 0.4014 0.4014 0.1972
Nb 0.2500 0.7500 0.5000
Ta 0.5986 0.5986 0.8028
Pb 0.0000 0.0000 0.0000

---

VASP calculation (PBE-GGA) on Ta2Nb2Pb after structural relaxation.

Calculated values
* ΔE to the lowest computed polymorph: 175.4 kJ/mol of atoms
* symmetry: P4/mmm

Lattice parameters (Å, degrees): 5.0953 5.0953 5.1042 90.00 90.00 90.00
Element x y z (fractional)
Pb 0.0000 0.0000 0.0000
Nb 0.5000 0.0000 0.0000
Ta 0.5000 0.5000 0.5000
Ta 0.0000 0.0000 0.5000
Nb 0.0000 0.5000 0.0000

---

VASP calculation (PBE-GGA) on TaNb2Pb after structural relaxation.

Calculated values
* symmetry: P4/mmm

Lattice parameters (Å, degrees): 3.5176 3.5176 6.3727 90.00 90.00 90.00
Element x y z (fractional)
Pb 0.5000 0.5000 0.5000
Ta 0.5000 0.5000 0.0000
Nb 0.0000 0.0000 0.2278
Nb 0.0000 0.0000 0.7722

---

VASP calculation (PBE-GGA) on TaNbPb3 after structural relaxation.

Calculated values
* ΔE to the lowest computed polymorph: 0.0 kJ/mol of atoms
* symmetry: Pm-3m

Lattice parameters (Å, degrees): 5.4683 5.4683 5.4683 90.00 90.00 90.00
Last column: magnetic moment on the atom in μB.
Element x y z (fractional)
Pb 0.5000 0.0000 0.0000  0.04
Pb 0.0000 0.5000 0.0000  0.02
Pb 0.0000 0.0000 0.5000  0.01
Nb 0.5000 0.5000 0.5000  2.88
Ta 0.0000 0.0000 0.0000  -0.15

---

VASP calculation (PBE-GGA) on Ta2Nb2Pb after structural relaxation.

Calculated values
* ΔE to the lowest computed polymorph: 0.0 kJ/mol of atoms
* symmetry: P4/mbm

Lattice parameters (Å, degrees): 7.7427 7.7427 3.4015 90.00 90.00 90.00
Element x y z (fractional)
Ta 0.6144 0.1144 0.0000
Nb 0.3081 0.1919 0.5000
Ta 0.1144 0.3856 0.0000
Ta 0.3856 0.8856 0.0000
Nb 0.8081 0.3081 0.5000
Nb 0.6919 0.8081 0.5000
Pb 0.5000 0.5000 0.0000
Ta 0.8856 0.6144 0.0000
Pb 0.0000 0.0000 0.0000
Nb 0.1919 0.6919 0.5000

---

VASP calculation (PBE-GGA) on Ta3NbPb after structural relaxation.

Calculated values
* ΔE to the lowest computed polymorph: 0.0 kJ/mol of atoms
* symmetry: Pm-3m

Lattice parameters (Å, degrees): 4.9369 4.9369 4.9369 90.00 90.00 90.00
Element x y z (fractional)
Nb 0.0000 0.0000 0.0000
Ta 0.0000 0.0000 0.5000
Pb 0.5000 0.5000 0.5000
Ta 0.0000 0.5000 0.0000
Ta 0.5000 0.0000 0.0000

---

VASP calculation (PBE-GGA) on Ta3NbPb after structural relaxation.

Calculated values
* ΔE to the lowest computed polymorph: 88.3 kJ/mol of atoms
* symmetry: Pm-3m

Lattice parameters (Å, degrees): 5.0379 5.0379 5.0379 90.00 90.00 90.00
Element x y z (fractional)
Pb 0.0000 0.0000 0.0000
Ta 0.0000 0.0000 0.5000
Nb 0.5000 0.5000 0.5000
Ta 0.0000 0.5000 0.0000
Ta 0.5000 0.0000 0.0000

---

VASP calculation (PBE-GGA) on Ta2NbPb after structural relaxation.

Calculated values
* symmetry: I-42d

Lattice parameters (Å, degrees): 4.0578 4.0578 10.7058 79.08 79.08 90.00
Element x y z (fractional)
Pb 0.7500 0.2500 0.5000
Ta 0.8750 0.8724 0.7500
Ta 0.6224 0.1250 0.2500
Ta 0.1276 0.6250 0.2500
Nb 0.2500 0.7500 0.5000
Nb 0.5000 0.5000 0.0000
Pb 0.0000 0.0000 0.0000
Ta 0.3750 0.3776 0.7500

---

VASP calculation (PBE-GGA) on TaNb2Pb after structural relaxation.

Calculated values
* symmetry: I-42d

Lattice parameters (Å, degrees): 7.7286 7.7286 6.1767 51.27 51.27 90.00
Element x y z (fractional)
Nb 0.8750 0.8457 0.7500
Nb 0.3750 0.4043 0.7500
Nb 0.1543 0.6250 0.2500
Pb 0.7500 0.2500 0.5000
Ta 0.5000 0.5000 0.0000
Pb 0.0000 0.0000 0.0000
Ta 0.2500 0.7500 0.5000
Nb 0.5957 0.1250 0.2500

---

VASP calculation (PBE-GGA) on Nb2Tc2Pb after structural relaxation.

Calculated values
* ΔE to the lowest computed polymorph: 0.0 kJ/mol of atoms
* symmetry: P4/mbm

Lattice parameters (Å, degrees): 7.6800 7.6800 3.1435 90.00 90.00 90.00
Element x y z (fractional)
Nb 0.1524 0.6524 0.5000
Tc 0.6356 0.1356 0.0000
Pb 0.5000 0.5000 0.0000
Nb 0.8476 0.3476 0.5000
Nb 0.6524 0.8476 0.5000
Tc 0.8644 0.6356 0.0000
Tc 0.3644 0.8644 0.0000
Nb 0.3476 0.1524 0.5000
Tc 0.1356 0.3644 0.0000
Pb 0.0000 0.0000 0.0000

---

VASP calculation (PBE-GGA) on NbTcPb3 after structural relaxation.

Calculated values
* ΔE to the lowest computed polymorph: 0.4 kJ/mol of atoms
* symmetry: Pm-3m

Lattice parameters (Å, degrees): 5.4909 5.4909 5.4909 90.00 90.00 90.00
Last column: magnetic moment on the atom in μB.
Element x y z (fractional)
Pb 0.0000 0.0000 0.5000  0.04
Pb 0.5000 0.0000 0.0000  0.00
Tc 0.5000 0.5000 0.5000  3.80
Pb 0.0000 0.5000 0.0000  0.01
Nb 0.0000 0.0000 0.0000  0.98

---

VASP calculation (PBE-GGA) on NbTcPb3 after structural relaxation.

Calculated values
* ΔE to the lowest computed polymorph: 0.0 kJ/mol of atoms
* symmetry: Pm-3m

Lattice parameters (Å, degrees): 5.2586 5.2586 5.2586 90.00 90.00 90.00
Last column: magnetic moment on the atom in μB.
Element x y z (fractional)
Pb 0.5000 0.0000 0.0000  0.01
Nb 0.5000 0.5000 0.5000  0.04
Pb 0.0000 0.0000 0.5000  0.00
Pb 0.0000 0.5000 0.0000  0.00
Tc 0.0000 0.0000 0.0000  -0.34

---

VASP calculation (PBE-GGA) on Nb2TcPb2 after structural relaxation.

Calculated values
* ΔE to the lowest computed polymorph: 51.6 kJ/mol of atoms
* symmetry: I4/mmm

Lattice parameters (Å, degrees): 3.9994 3.9994 7.7303 75.01 75.01 90.00
Last column: magnetic moment on the atom in μB.
Element x y z (fractional)
Tc 0.0000 0.0000 0.0000  1.06
Pb 0.2500 0.7500 0.5000  0.00
Pb 0.7500 0.2500 0.5000  0.00
Nb 0.4162 0.4162 0.1675  -0.21
Nb 0.5838 0.5838 0.8325  -0.21

---

VASP calculation (PBE-GGA) on NbTcPb2 after structural relaxation.

Calculated values
* ΔE to the lowest computed polymorph: 0.0 kJ/mol of atoms
* symmetry: Fm-3m

Lattice parameters (Å, degrees): 4.8596 4.8596 4.8596 60.00 60.00 60.00
Last column: magnetic moment on the atom in μB.
Element x y z (fractional)
Pb 0.2500 0.2500 0.2500  0.01
Pb 0.7500 0.7500 0.7500  0.01
Nb 0.0000 0.0000 0.0000  1.05
Tc 0.5000 0.5000 0.5000  0.29

---

VASP calculation (PBE-GGA) on NbTc2Pb after structural relaxation.

Calculated values
* symmetry: I-42d

Lattice parameters (Å, degrees): 4.1384 4.1384 9.7642 77.77 77.77 90.00
Element x y z (fractional)
Tc 0.3750 0.4483 0.7500
Nb 0.5000 0.5000 0.0000
Tc 0.1983 0.6250 0.2500
Nb 0.2500 0.7500 0.5000
Pb 0.0000 0.0000 0.0000
Tc 0.5517 0.1250 0.2500
Tc 0.8750 0.8017 0.7500
Pb 0.7500 0.2500 0.5000

---

| no. | electronic total energy (eV per atom) |
| --- | --- |
| 1 | -5.21 |
| 2 | -4.80 |
| 3 | -5.49 |
| 4 | -3.99 |
| 5 | -3.35 |
| 6 | -8.70 |
| 7 | -7.21 |
| 8 | -8.80 |
| 9 | -5.32 |
| 10 | -9.03 |
| 11 | -8.37 |
| 12 | -7.45 |
| 13 | -8.55 |
| 14 | -8.09 |
| 15 | -8.66 |
| 16 | -5.00 |
| 17 | -5.00 |
| 18 | -6.51 |
| 19 | -6.30 |
| 20 | -7.79 |